Below is TiInAs2 after structural relaxation, with properties calculated at the PBE level.

Calculated values
DFT formation energy = -0.3752 eV per atom
Raw total energy = -21.43 eV/cell
Spin magnetization = 0.000 μB/f.u.

POSCAR file:
```
TiInAs2
1.0
1.859 1.073 7.067
-1.859 1.073 7.067
0.000 -2.147 7.067
Ti In As
1 1 2
Direct
0.000 0.000 0.000 Ti
0.500 0.500 0.500 In
0.263 0.263 0.263 As
0.737 0.737 0.737 As
```

---

Below is Ti2InAsW after structural relaxation, with properties calculated at the PBE level.

Calculated values
DFT formation energy = 0.9112 eV per atom
Raw total energy = -31.57 eV/cell
Spin magnetization = 0.000 μB/f.u.

POSCAR file:
```
Ti2InAsW
1.0
4.746 0.000 0.000
0.000 4.746 0.000
0.000 0.000 5.261
Ti In As W
2 1 1 1
Direct
0.000 0.500 0.000 Ti
0.500 0.000 0.000 Ti
0.000 0.000 0.500 In
0.500 0.500 0.500 As
0.000 0.000 0.000 W
```

---

Below is TlInAs2 after structural relaxation, with properties calculated at the PBE level.

Calculated values
DFT formation energy = 0.2771 eV per atom
Raw total energy = -13.30 eV/cell
E above lowest polymorph = 0.3407 eV/atom
Spin magnetization = 0.000 μB/f.u.

POSCAR file:
```
TlInAs2
1.0
-2.444 2.444 4.027
2.444 -2.444 4.027
2.444 2.444 -4.027
Tl In As
1 1 2
Direct
0.000 0.000 0.000 Tl
0.750 0.250 0.500 In
0.250 0.750 0.500 As
0.500 0.500 0.000 As
```

---

Below is TlInAs2 after structural relaxation, with properties calculated at the PBE level.

Calculated values
DFT formation energy = 0.0446 eV per atom
Raw total energy = -14.23 eV/cell
E above lowest polymorph = 0.1081 eV/atom
Spin magnetization = 0.000 μB/f.u.

POSCAR file:
```
TlInAs2
1.0
1.820 1.051 9.277
-1.820 1.051 9.277
0.000 -2.101 9.277
Tl In As
1 1 2
Direct
0.000 0.000 0.000 Tl
0.240 0.240 0.240 In
0.483 0.483 0.483 As
0.765 0.765 0.765 As
```

---

Below is TlIn2As after structural relaxation, with properties calculated at the PBE level.

Calculated values
DFT formation energy = 0.1060 eV per atom
Raw total energy = -12.07 eV/cell
E above lowest polymorph = 0.1441 eV/atom
Spin magnetization = 0.000 μB/f.u.

POSCAR file:
```
TlIn2As
1.0
-2.405 2.405 4.572
2.405 -2.405 4.572
2.405 2.405 -4.572
Tl In As
1 2 1
Direct
0.000 0.000 0.000 Tl
0.250 0.750 0.500 In
0.750 0.250 0.500 In
0.500 0.500 0.000 As
```

---

Below is TlInAs2 after structural relaxation, with properties calculated at the PBE level.

Calculated values
DFT formation energy = 0.2351 eV per atom
Raw total energy = -13.46 eV/cell
E above lowest polymorph = 0.2986 eV/atom
Spin magnetization = 0.000 μB/f.u.

POSCAR file:
```
TlInAs2
1.0
2.011 -2.593 0.000
2.011 2.593 0.000
0.000 0.000 9.383
Tl In As
1 1 2
Direct
0.000 0.000 0.000 Tl
0.000 0.000 0.500 In
0.500 0.500 0.279 As
0.500 0.500 0.721 As
```

---

Below is TlIn2As2 after structural relaxation, with properties calculated at the PBE level.

Calculated values
DFT formation energy = 0.0199 eV per atom
Raw total energy = -17.04 eV/cell
E above lowest polymorph = 0.0032 eV/atom
Spin magnetization = 0.000 μB/f.u.

POSCAR file:
```
TlIn2As2
1.0
-2.557 2.557 5.215
2.557 -2.557 5.215
2.557 2.557 -5.215
Tl In As
1 2 2
Direct
0.000 0.000 0.000 Tl
0.363 0.363 0.000 In
0.637 0.637 0.000 In
0.250 0.750 0.500 As
0.750 0.250 0.500 As
```

---

Below is TlInAs2 after structural relaxation, with properties calculated at the PBE level.

Calculated values
DFT formation energy = 0.1429 eV per atom
Raw total energy = -13.83 eV/cell
E above lowest polymorph = 0.2064 eV/atom
Spin magnetization = 0.000 μB/f.u.

POSCAR file:
```
TlInAs2
1.0
3.108 0.000 0.000
0.000 4.758 0.000
-1.155 0.000 6.963
Tl In As
1 1 2
Direct
0.000 0.000 0.000 Tl
0.291 0.500 0.661 In
0.617 0.500 0.261 As
0.696 0.000 0.451 As
```

---

Below is TlIn2As after structural relaxation, with properties calculated at the PBE level.

Calculated values
DFT formation energy = 0.1102 eV per atom
Raw total energy = -12.05 eV/cell
E above lowest polymorph = 0.1482 eV/atom
Spin magnetization = 0.000 μB/f.u.

POSCAR file:
```
TlIn2As
1.0
0.000 3.747 3.747
3.747 0.000 3.747
3.747 3.747 0.000
Tl In As
1 2 1
Direct
0.000 0.000 0.000 Tl
0.250 0.250 0.250 In
0.750 0.750 0.750 In
0.500 0.500 0.500 As
```

---

Below is TlIn2As2 after structural relaxation, with properties calculated at the PBE level.

Calculated values
DFT formation energy = 0.0166 eV per atom
Raw total energy = -17.06 eV/cell
E above lowest polymorph = 0.0000 eV/atom
Spin magnetization = 0.000 μB/f.u.

POSCAR file:
```
TlIn2As2
1.0
-2.370 2.370 6.220
2.370 -2.370 6.220
2.370 2.370 -6.220
Tl In As
1 2 2
Direct
0.000 0.000 0.000 Tl
0.250 0.750 0.500 In
0.750 0.250 0.500 In
0.385 0.385 0.000 As
0.615 0.615 0.000 As
```

---

Below is TlInAs2 after structural relaxation, with properties calculated at the PBE level.

Calculated values
DFT formation energy = 0.0643 eV per atom
Raw total energy = -14.15 eV/cell
E above lowest polymorph = 0.1278 eV/atom
Spin magnetization = 0.000 μB/f.u.

POSCAR file:
```
TlInAs2
1.0
5.865 -1.780 0.000
5.865 1.780 0.000
-1.714 0.000 5.432
Tl In As
1 1 2
Direct
0.000 0.000 0.000 Tl
0.500 0.500 0.500 In
0.249 0.249 0.650 As
0.751 0.751 0.350 As
```

---

Below is Tl2InAs after structural relaxation, with properties calculated at the PBE level.

Calculated values
DFT formation energy = 0.1070 eV per atom
Raw total energy = -11.69 eV/cell
Spin magnetization = 0.000 μB/f.u.

POSCAR file:
```
Tl2InAs
1.0
3.312 0.000 0.000
0.000 4.045 0.000
0.000 0.000 8.301
Tl In As
2 1 1
Direct
0.000 0.000 0.221 Tl
0.000 0.000 0.779 Tl
0.500 0.500 0.500 In
0.500 0.500 0.000 As
```

---

Below is TlIn3As after structural relaxation, with properties calculated at the PBE level.

Calculated values
DFT formation energy = 0.6723 eV per atom
Raw total energy = -11.87 eV/cell
E above lowest polymorph = 0.3906 eV/atom
Spin magnetization = 0.056 μB/f.u.

POSCAR file:
```
TlIn3As
1.0
5.620 0.000 0.000
0.000 5.620 0.000
0.000 0.000 5.620
Tl In As
1 3 1
Direct
0.000 0.000 0.000 Tl
0.000 0.000 0.500 In
0.000 0.500 0.000 In
0.500 0.000 0.000 In
0.500 0.500 0.500 As
```

---

Below is TlIn2As after structural relaxation, with properties calculated at the PBE level.

Calculated values
DFT formation energy = 0.0247 eV per atom
Raw total energy = -12.39 eV/cell
E above lowest polymorph = 0.0627 eV/atom
Spin magnetization = 0.000 μB/f.u.

POSCAR file:
```
TlIn2As
1.0
3.709 0.000 0.000
0.000 3.709 0.000
0.000 0.000 7.761
Tl In As
1 2 1
Direct
0.000 0.000 0.000 Tl
0.500 0.500 0.296 In
0.500 0.500 0.704 In
0.000 0.000 0.500 As
```

---

Below is TlInAs2 after structural relaxation, with properties calculated at the PBE level.

Calculated values
DFT formation energy = 0.0455 eV per atom
Raw total energy = -14.22 eV/cell
E above lowest polymorph = 0.1090 eV/atom
Spin magnetization = 0.000 μB/f.u.

POSCAR file:
```
TlInAs2
1.0
5.937 -1.801 0.000
5.937 1.801 0.000
-2.580 0.000 4.930
Tl In As
1 1 2
Direct
0.000 0.000 0.000 Tl
0.780 0.780 0.304 In
0.221 0.221 0.737 As
0.558 0.558 0.559 As
```

---

Below is TlIn2As after structural relaxation, with properties calculated at the PBE level.

Calculated values
DFT formation energy = -0.0237 eV per atom
Raw total energy = -12.59 eV/cell
E above lowest polymorph = 0.0143 eV/atom
Spin magnetization = 0.000 μB/f.u.

POSCAR file:
```
TlIn2As
1.0
2.041 1.178 7.944
-2.041 1.178 7.944
0.000 -2.356 7.944
Tl In As
1 2 1
Direct
0.000 0.000 0.000 Tl
0.234 0.234 0.234 In
0.434 0.434 0.434 In
0.835 0.835 0.835 As
```

---

Below is TlIn2As after structural relaxation, with properties calculated at the PBE level.

Calculated values
DFT formation energy = 0.1132 eV per atom
Raw total energy = -12.04 eV/cell
E above lowest polymorph = 0.1512 eV/atom
Spin magnetization = 0.000 μB/f.u.

POSCAR file:
```
TlIn2As
1.0
3.273 0.000 0.000
0.000 3.273 0.000
0.000 0.000 10.083
Tl In As
1 2 1
Direct
0.000 0.000 0.000 Tl
0.000 0.000 0.442 In
0.500 0.500 0.709 In
0.500 0.500 0.234 As
```

---

Below is TlIn2As after structural relaxation, with properties calculated at the PBE level.

Calculated values
DFT formation energy = 0.1151 eV per atom
Raw total energy = -12.03 eV/cell
E above lowest polymorph = 0.1531 eV/atom
Spin magnetization = 0.000 μB/f.u.

POSCAR file:
```
TlIn2As
1.0
6.010 0.000 0.000
0.000 3.255 0.000
-2.740 0.000 5.359
Tl In As
1 2 1
Direct
0.000 0.000 0.000 Tl
0.000 0.500 0.500 In
0.500 0.000 0.500 In
0.500 0.500 0.000 As
```

---

Below is Tl2InAs after structural relaxation, with properties calculated at the PBE level.

Calculated values
DFT formation energy = 0.1121 eV per atom
Raw total energy = -11.67 eV/cell
Spin magnetization = 0.000 μB/f.u.

POSCAR file:
```
Tl2InAs
1.0
-2.426 2.426 4.685
2.426 -2.426 4.685
2.426 2.426 -4.685
Tl In As
2 1 1
Direct
0.250 0.750 0.500 Tl
0.750 0.250 0.500 Tl
0.000 0.000 0.000 In
0.500 0.500 0.000 As
```

---

Below is TlInAs2 after structural relaxation, with properties calculated at the PBE level.

Calculated values
DFT formation energy = 0.1453 eV per atom
Raw total energy = -13.82 eV/cell
E above lowest polymorph = 0.2088 eV/atom
Spin magnetization = 0.000 μB/f.u.

POSCAR file:
```
TlInAs2
1.0
3.125 0.000 0.000
0.000 5.013 0.000
-0.044 0.000 6.689
Tl In As
1 1 2
Direct
0.000 0.000 0.000 Tl
0.000 0.000 0.500 In
0.494 0.500 0.312 As
0.506 0.500 0.688 As
```

---

Below is TlIn2As after structural relaxation, with properties calculated at the PBE level.

Calculated values
DFT formation energy = 0.1247 eV per atom
Raw total energy = -11.99 eV/cell
E above lowest polymorph = 0.1627 eV/atom
Spin magnetization = 0.001 μB/f.u.

POSCAR file:
```
TlIn2As
1.0
1.695 0.978 10.783
-1.695 0.978 10.783
0.000 -1.957 10.783
Tl In As
1 2 1
Direct
0.000 0.000 0.000 Tl
0.518 0.518 0.518 In
0.765 0.765 0.765 In
0.254 0.254 0.254 As
```

---

Below is TlIn2As after structural relaxation, with properties calculated at the PBE level.

Calculated values
DFT formation energy = 0.0348 eV per atom
Raw total energy = -12.35 eV/cell
E above lowest polymorph = 0.0728 eV/atom
Spin magnetization = 0.000 μB/f.u.

POSCAR file:
```
TlIn2As
1.0
3.798 0.000 0.000
0.000 3.798 0.000
0.000 0.000 7.566
Tl In As
1 2 1
Direct
0.000 0.000 0.000 Tl
0.000 0.000 0.443 In
0.500 0.500 0.697 In
0.500 0.500 0.292 As
```

---

Below is TlIn2As after structural relaxation, with properties calculated at the PBE level.

Calculated values
DFT formation energy = 0.1041 eV per atom
Raw total energy = -24.15 eV/cell
E above lowest polymorph = 0.1421 eV/atom
Spin magnetization = 0.000 μB/f.u.

POSCAR file:
```
TlIn2As
1.0
-3.474 3.474 5.716
3.474 -3.474 5.716
3.474 3.474 -5.716
Tl In As
2 4 2
Direct
0.000 0.000 0.000 Tl
0.750 0.250 0.500 Tl
0.160 0.625 0.035 In
0.375 0.410 0.535 In
0.590 0.125 0.965 In
0.875 0.840 0.465 In
0.250 0.750 0.500 As
0.500 0.500 0.000 As
```

---

Below is Tl2InAs after structural relaxation, with properties calculated at the PBE level.

Calculated values
DFT formation energy = 0.1298 eV per atom
Raw total energy = -11.60 eV/cell
Spin magnetization = 0.000 μB/f.u.

POSCAR file:
```
Tl2InAs
1.0
3.218 -5.261 0.000
3.218 5.261 0.000
0.000 0.000 3.223
Tl In As
2 1 1
Direct
0.000 0.500 0.000 Tl
0.500 0.000 0.000 Tl
0.000 0.000 0.500 In
0.500 0.500 0.500 As
```

---

Below is Tl2InAs after structural relaxation, with properties calculated at the PBE level.

Calculated values
DFT formation energy = 0.1016 eV per atom
Raw total energy = -11.71 eV/cell
Spin magnetization = 0.000 μB/f.u.

POSCAR file:
```
Tl2InAs
1.0
-2.479 2.479 4.488
2.479 -2.479 4.488
2.479 2.479 -4.488
Tl In As
2 1 1
Direct
0.000 0.000 0.000 Tl
0.750 0.250 0.500 Tl
0.500 0.500 0.000 In
0.250 0.750 0.500 As
```

---

Below is TlIn2As after structural relaxation, with properties calculated at the PBE level.

Calculated values
DFT formation energy = 0.1117 eV per atom
Raw total energy = -12.05 eV/cell
E above lowest polymorph = 0.1497 eV/atom
Spin magnetization = 0.000 μB/f.u.

POSCAR file:
```
TlIn2As
1.0
-2.392 2.392 4.639
2.392 -2.392 4.639
2.392 2.392 -4.639
Tl In As
1 2 1
Direct
0.000 0.000 0.000 Tl
0.500 0.500 0.000 In
0.750 0.250 0.500 In
0.250 0.750 0.500 As
```

---

Below is TlInAs2 after structural relaxation, with properties calculated at the PBE level.

Calculated values
DFT formation energy = 0.2623 eV per atom
Raw total energy = -13.35 eV/cell
E above lowest polymorph = 0.3258 eV/atom
Spin magnetization = 0.000 μB/f.u.

POSCAR file:
```
TlInAs2
1.0
3.189 -4.794 0.000
3.189 4.794 0.000
0.000 0.000 3.179
Tl In As
1 1 2
Direct
0.000 0.000 0.000 Tl
0.500 0.500 0.000 In
0.000 0.500 0.500 As
0.500 0.000 0.500 As
```

---

Below is TlInAs2 after structural relaxation, with properties calculated at the PBE level.

Calculated values
DFT formation energy = 0.0905 eV per atom
Raw total energy = -14.04 eV/cell
E above lowest polymorph = 0.1540 eV/atom
Spin magnetization = 0.000 μB/f.u.

POSCAR file:
```
TlInAs2
1.0
3.703 0.000 0.000
0.000 3.703 0.000
0.000 0.000 7.526
Tl In As
1 1 2
Direct
0.000 0.000 0.000 Tl
0.500 0.500 0.689 In
0.000 0.000 0.426 As
0.500 0.500 0.308 As
```

---

Below is TlIn2As2 after structural relaxation, with properties calculated at the PBE level.

Calculated values
DFT formation energy = 0.0742 eV per atom
Raw total energy = -33.54 eV/cell
E above lowest polymorph = 0.0576 eV/atom
Spin magnetization = 0.000 μB/f.u.

POSCAR file:
```
TlIn2As2
1.0
8.227 0.000 0.000
0.000 8.227 0.000
0.000 0.000 3.685
Tl In As
2 4 4
Direct
0.000 0.000 0.000 Tl
0.500 0.500 0.000 Tl
0.145 0.355 0.500 In
0.355 0.855 0.500 In
0.645 0.145 0.500 In
0.855 0.645 0.500 In
0.154 0.654 0.000 As
0.346 0.154 0.000 As
0.654 0.846 0.000 As
0.846 0.346 0.000 As
```

---

Below is Tl2InAs after structural relaxation, with properties calculated at the PBE level.

Calculated values
DFT formation energy = -0.0095 eV per atom
Raw total energy = -12.16 eV/cell
Spin magnetization = 0.000 μB/f.u.

POSCAR file:
```
Tl2InAs
1.0
2.128 1.229 7.622
-2.128 1.229 7.622
0.000 -2.458 7.622
Tl In As
2 1 1
Direct
0.000 0.000 0.000 Tl
0.231 0.231 0.231 Tl
0.761 0.761 0.761 In
0.484 0.484 0.484 As
```